Entry from Alexandria via LeMat-Bulk: Ba2YCu3Pb2O8 after structural relaxation (GGA-PBEsol).

- E_tot (eV per atom) = -6.3554
- energy relative to the lowest polymorph listed for this composition (eV per atom) = 0.000
- E_form (uncorrected) (eV per atom) = -1.72

Cell: 5.3815 5.4539 16.2849 Å, 90.00 90.00 90.00°
Closest atoms and distances in Å follow each position.
Fractional coordinates of all 32 atoms:
O 0.2498 0.4939 0.7567  1 Pb 2.19
O 0.2413 0.9344 0.8899  1 Cu 1.83
O 0.2413 0.0656 0.1101  1 Cu 1.83
O 0.5000 0.7500 0.4129  2 Cu 1.92
O 0.0000 0.7500 0.5877  2 Cu 1.92
O 0.5000 0.7500 0.5877  2 Cu 1.92
O 0.2498 0.5061 0.2433  1 Pb 2.19
O 0.0000 0.7500 0.4129  2 Cu 1.92
O 0.5000 0.2500 0.5871  2 Cu 1.92
O 0.7502 0.0061 0.7567  1 Pb 2.19
O 0.0000 0.2500 0.5871  2 Cu 1.92
O 0.7587 0.5656 0.8899  1 Cu 1.83
O 0.7587 0.4344 0.1101  1 Cu 1.83
O 0.0000 0.2500 0.4123  2 Cu 1.92
O 0.7502 0.9939 0.2433  1 Pb 2.19
O 0.5000 0.2500 0.4123  2 Cu 1.92
Cu 0.2500 0.5003 0.4014  4 O 1.92
Cu 0.7500 0.0003 0.5986  4 O 1.92
Cu 0.7500 0.9997 0.4014  4 O 1.92
Cu 0.7548 0.5000 0.0000  2 O 1.83
Cu 0.2452 0.0000 0.0000  2 O 1.83
Cu 0.2500 0.4997 0.5986  4 O 1.92
Pb 0.2467 0.5087 0.8911  2 O 2.19-2.32
Pb 0.2467 0.4913 0.1089  2 O 2.19-2.32
Pb 0.7533 0.0087 0.1089  2 O 2.19-2.32
Pb 0.7533 0.9913 0.8911  2 O 2.19-2.32
Ba 0.2502 0.0016 0.2770  9 O 2.74-2.93
Ba 0.7498 0.4984 0.2770  9 O 2.74-2.93
Ba 0.7498 0.5016 0.7230  9 O 2.74-2.93
Ba 0.2502 0.9984 0.7230  9 O 2.74-2.93
Y 0.2500 0.0000 0.5000  8 O 2.38-2.39
Y 0.7500 0.5000 0.5000  8 O 2.38-2.39